1.
LaNbFe3 after structural relaxation, computed with PBE.

Cell and atoms, written as CIF:
```
data_LaNbFe3
_chemical_formula_sum 'La1 Nb1 Fe3'
_cell_length_a 4.456
_cell_length_b 4.456
_cell_length_c 4.456
_cell_angle_alpha 90.00
_cell_angle_beta 90.00
_cell_angle_gamma 90.00
_symmetry_space_group_name_H-M 'P m -3 m'
_symmetry_Int_Tables_number 221
_symmetry_space_group_name_Hall '-P 4 2 3'
loop_
_atom_site_label
_atom_site_type_symbol
_atom_site_fract_x
_atom_site_fract_y
_atom_site_fract_z
_atom_site_occupancy
La1 La 0.000 0.000 0.000 1
Nb1 Nb 0.500 0.500 0.500 1
Fe1 Fe 0.000 0.000 0.500 1
```

Formation enthalpy at 0 K ... 1707 meV per atom
Crystal system ... cubic
Distance to the lowest polymorph of the same formula ... 932 meV/atom

---

2.
LaNb2Fe after structural relaxation, computed with PBE.

Cell and atoms, written as CIF:
```
data_LaNb2Fe
_chemical_formula_sum 'La4 Nb8 Fe4'
_cell_length_a 4.997
_cell_length_b 4.997
_cell_length_c 16.583
_cell_angle_alpha 90.00
_cell_angle_beta 90.00
_cell_angle_gamma 90.00
_symmetry_space_group_name_H-M 'I 41/a m d'
_symmetry_Int_Tables_number 141
loop_
_symmetry_equiv_pos_as_xyz
'x,y,z'
'-x,-y,-z'
'-y+1/4,x+3/4,z+1/4'
'y+1/4,-x+3/4,-z+1/4'
'-x+1/2,-y,z+1/2'
'x+1/2,y,-z+1/2'
'y+1/4,-x+1/4,z+3/4'
'-y+1/4,x+1/4,-z+3/4'
'x,-y,-z'
'-x,y,z'
'-y+1/4,-x+1/4,-z+3/4'
'y+1/4,x+1/4,z+3/4'
'-x+1/2,y,-z+1/2'
'x+1/2,-y,z+1/2'
'y+1/4,x+3/4,-z+1/4'
'-y+1/4,-x+3/4,z+1/4'
'x+1/2,y+1/2,z+1/2'
'-x+1/2,-y+1/2,-z+1/2'
'-y+3/4,x+1/4,z+3/4'
'y+3/4,-x+1/4,-z+3/4'
'-x,-y+1/2,z'
'x,y+1/2,-z'
'y+3/4,-x+3/4,z+1/4'
'-y+3/4,x+3/4,-z+1/4'
'x+1/2,-y+1/2,-z+1/2'
'-x+1/2,y+1/2,z+1/2'
'-y+3/4,-x+3/4,-z+1/4'
'y+3/4,x+3/4,z+1/4'
'-x,y+1/2,-z'
'x,-y+1/2,z'
'y+3/4,x+1/4,-z+3/4'
'-y+3/4,-x+1/4,z+3/4'
loop_
_atom_site_label
_atom_site_type_symbol
_atom_site_fract_x
_atom_site_fract_y
_atom_site_fract_z
_atom_site_occupancy
La1 La 0.000 0.250 0.375 1
Nb1 Nb 0.000 0.000 0.000 1
Fe1 Fe 0.000 0.250 0.875 1
```

Formation enthalpy at 0 K ... 920 meV per atom
Crystal system ... tetragonal
Distance to the lowest polymorph of the same formula ... 438 meV/atom

---

3.
La2Nb2Fe after structural relaxation, computed with PBE.

Cell and atoms, written as CIF:
```
data_La2Nb2Fe
_chemical_formula_sum 'La4 Nb4 Fe2'
_cell_length_a 6.511
_cell_length_b 6.511
_cell_length_c 5.430
_cell_angle_alpha 90.00
_cell_angle_beta 90.00
_cell_angle_gamma 90.00
_symmetry_space_group_name_H-M 'P 4/m b m'
_symmetry_Int_Tables_number 127
_symmetry_space_group_name_Hall '-P 4 2ab'
loop_
_atom_site_label
_atom_site_type_symbol
_atom_site_fract_x
_atom_site_fract_y
_atom_site_fract_z
_atom_site_occupancy
La1 La 0.171 0.329 0.000 1
Nb1 Nb 0.154 0.654 0.500 1
Fe1 Fe 0.000 0.000 0.500 1
```

Formation enthalpy at 0 K ... 337 meV per atom
Crystal system ... tetragonal

---

4.
La2NbFe after structural relaxation, computed with PBE.

Cell and atoms, written as CIF:
```
data_La2NbFe
_chemical_formula_sum 'La8 Nb4 Fe4'
_cell_length_a 7.361
_cell_length_b 7.361
_cell_length_c 7.361
_cell_angle_alpha 90.00
_cell_angle_beta 90.00
_cell_angle_gamma 90.00
_symmetry_space_group_name_H-M 'F m -3 m'
_symmetry_Int_Tables_number 225
_symmetry_space_group_name_Hall '-F 4 2 3'
loop_
_atom_site_label
_atom_site_type_symbol
_atom_site_fract_x
_atom_site_fract_y
_atom_site_fract_z
_atom_site_occupancy
La1 La 0.250 0.250 0.250 1
Nb1 Nb 0.000 0.000 0.000 1
Fe1 Fe 0.000 0.000 0.500 1
```

Formation enthalpy at 0 K ... 540 meV per atom
Crystal system ... cubic

---

5.
La3NbFe after structural relaxation, computed with PBE.

Cell and atoms, written as CIF:
```
data_La3NbFe
_chemical_formula_sum 'La3 Nb1 Fe1'
_cell_length_a 5.215
_cell_length_b 5.215
_cell_length_c 5.215
_cell_angle_alpha 90.00
_cell_angle_beta 90.00
_cell_angle_gamma 90.00
_symmetry_space_group_name_H-M 'P m -3 m'
_symmetry_Int_Tables_number 221
_symmetry_space_group_name_Hall '-P 4 2 3'
loop_
_atom_site_label
_atom_site_type_symbol
_atom_site_fract_x
_atom_site_fract_y
_atom_site_fract_z
_atom_site_occupancy
La1 La 0.000 0.000 0.500 1
Nb1 Nb 0.500 0.500 0.500 1
Fe1 Fe 0.000 0.000 0.000 1
```

Formation enthalpy at 0 K ... 591 meV per atom
Crystal system ... cubic

---

6.
LaNb2Fe after structural relaxation, computed with PBE.

Cell and atoms, written as CIF:
```
data_LaNb2Fe
_chemical_formula_sum 'La4 Nb8 Fe4'
_cell_length_a 6.592
_cell_length_b 6.592
_cell_length_c 6.592
_cell_angle_alpha 90.00
_cell_angle_beta 90.00
_cell_angle_gamma 90.00
_symmetry_space_group_name_H-M 'F m -3 m'
_symmetry_Int_Tables_number 225
_symmetry_space_group_name_Hall '-F 4 2 3'
loop_
_atom_site_label
_atom_site_type_symbol
_atom_site_fract_x
_atom_site_fract_y
_atom_site_fract_z
_atom_site_occupancy
La1 La 0.000 0.000 0.000 1
Nb1 Nb 0.250 0.250 0.250 1
Fe1 Fe 0.000 0.000 0.500 1
```

Formation enthalpy at 0 K ... 482 meV per atom
Crystal system ... cubic
Distance to the lowest polymorph of the same formula ... 0 meV/atom

---

7.
LaNbFe2Pt after structural relaxation, computed with PBE.

Cell and atoms, written as CIF:
```
data_LaNbFe2Pt
_chemical_formula_sum 'La1 Nb1 Fe2 Pt1'
_cell_length_a 4.596
_cell_length_b 4.596
_cell_length_c 5.093
_cell_angle_alpha 90.00
_cell_angle_beta 90.00
_cell_angle_gamma 90.00
_symmetry_space_group_name_H-M 'P 4/m m m'
_symmetry_Int_Tables_number 123
_symmetry_space_group_name_Hall '-P 4 2'
loop_
_atom_site_label
_atom_site_type_symbol
_atom_site_fract_x
_atom_site_fract_y
_atom_site_fract_z
_atom_site_occupancy
La1 La 0.000 0.000 0.000 1
Nb1 Nb 0.500 0.500 0.500 1
Fe1 Fe 0.000 0.500 0.500 1
Pt1 Pt 0.500 0.500 0.000 1
```

Formation enthalpy at 0 K ... 415 meV per atom
Crystal system ... tetragonal

---

8.
LaNb2FeTc after structural relaxation, computed with PBE.

Cell and atoms, written as CIF:
```
data_LaNb2FeTc
_chemical_formula_sum 'La1 Nb2 Fe1 Tc1'
_cell_length_a 4.592
_cell_length_b 4.592
_cell_length_c 5.050
_cell_angle_alpha 90.00
_cell_angle_beta 90.00
_cell_angle_gamma 90.00
_symmetry_space_group_name_H-M 'P 4/m m m'
_symmetry_Int_Tables_number 123
_symmetry_space_group_name_Hall '-P 4 2'
loop_
_atom_site_label
_atom_site_type_symbol
_atom_site_fract_x
_atom_site_fract_y
_atom_site_fract_z
_atom_site_occupancy
La1 La 0.000 0.000 0.000 1
Nb1 Nb 0.000 0.500 0.500 1
Fe1 Fe 0.000 0.000 0.500 1
Tc1 Tc 0.500 0.500 0.000 1
```

Formation enthalpy at 0 K ... 970 meV per atom
Crystal system ... tetragonal

---

9.
LaNb2FeTe after structural relaxation, computed with PBE.

Cell and atoms, written as CIF:
```
data_LaNb2FeTe
_chemical_formula_sum 'La1 Nb2 Fe1 Te1'
_cell_length_a 4.760
_cell_length_b 4.760
_cell_length_c 4.943
_cell_angle_alpha 90.00
_cell_angle_beta 90.00
_cell_angle_gamma 90.00
_symmetry_space_group_name_H-M 'P 4/m m m'
_symmetry_Int_Tables_number 123
_symmetry_space_group_name_Hall '-P 4 2'
loop_
_atom_site_label
_atom_site_type_symbol
_atom_site_fract_x
_atom_site_fract_y
_atom_site_fract_z
_atom_site_occupancy
La1 La 0.000 0.000 0.000 1
Nb1 Nb 0.000 0.500 0.500 1
Fe1 Fe 0.500 0.500 0.500 1
Te1 Te 0.500 0.500 0.000 1
```

Formation energy (no corrections) ... 190 kJ/mol of formula units
Crystal system ... tetragonal

---

10.
LaNdFe4 after structural relaxation, computed with PBE.

Cell and atoms, written as CIF:
```
data_LaNdFe4
_chemical_formula_sum 'La4 Nd4 Fe16'
_cell_length_a 7.454
_cell_length_b 7.454
_cell_length_c 7.454
_cell_angle_alpha 90.00
_cell_angle_beta 90.00
_cell_angle_gamma 90.00
_symmetry_space_group_name_H-M 'F -4 3 m'
_symmetry_Int_Tables_number 216
_symmetry_space_group_name_Hall 'F -4 2 3'
loop_
_atom_site_label
_atom_site_type_symbol
_atom_site_fract_x
_atom_site_fract_y
_atom_site_fract_z
_atom_site_occupancy
La1 La 0.000 0.000 0.000 1
Nd1 Nd 0.250 0.250 0.250 1
Fe1 Fe 0.125 0.125 0.625 1
```

Formation enthalpy at 0 K ... 89 meV per atom
Crystal system ... cubic

---

11.
LaNdZnFe after structural relaxation, computed with PBE.

Cell and atoms, written as CIF:
```
data_LaNdZnFe
_chemical_formula_sum 'La4 Nd4 Zn4 Fe4'
_cell_length_a 7.271
_cell_length_b 7.271
_cell_length_c 7.271
_cell_angle_alpha 90.00
_cell_angle_beta 90.00
_cell_angle_gamma 90.00
_symmetry_space_group_name_H-M 'F -4 3 m'
_symmetry_Int_Tables_number 216
_symmetry_space_group_name_Hall 'F -4 2 3'
loop_
_atom_site_label
_atom_site_type_symbol
_atom_site_fract_x
_atom_site_fract_y
_atom_site_fract_z
_atom_site_occupancy
La1 La 0.000 0.000 0.000 1
Nd1 Nd 0.000 0.000 0.500 1
Zn1 Zn 0.250 0.250 0.750 1
Fe1 Fe 0.250 0.250 0.250 1
```

Formation enthalpy at 0 K ... 25 meV per atom
Crystal system ... cubic

---

12.
La2FeNi after structural relaxation, computed with PBE.

Cell and atoms, written as CIF:
```
data_La2FeNi
_chemical_formula_sum 'La8 Fe4 Ni4'
_cell_length_a 7.392
_cell_length_b 7.392
_cell_length_c 6.335
_cell_angle_alpha 90.00
_cell_angle_beta 90.00
_cell_angle_gamma 90.00
_symmetry_space_group_name_H-M 'I -4 2 d'
_symmetry_Int_Tables_number 122
_symmetry_space_group_name_Hall 'I -4 2bw'
loop_
_atom_site_label
_atom_site_type_symbol
_atom_site_fract_x
_atom_site_fract_y
_atom_site_fract_z
_atom_site_occupancy
La1 La 0.229 0.250 0.125 1
Fe1 Fe 0.000 0.000 0.000 1
Ni1 Ni 0.000 0.000 0.500 1
```

Formation enthalpy at 0 K ... 266 meV per atom
Crystal system ... tetragonal
Distance to the lowest polymorph of the same formula ... 315 meV/atom

---

13.
LaFe2Ni after structural relaxation, computed with PBE.

Cell and atoms, written as CIF:
```
data_LaFe2Ni
_chemical_formula_sum 'La1 Fe2 Ni1'
_cell_length_a 3.892
_cell_length_b 4.284
_cell_length_c 4.563
_cell_angle_alpha 90.00
_cell_angle_beta 105.15
_cell_angle_gamma 90.00
_symmetry_space_group_name_H-M 'P 1 2/m 1'
_symmetry_Int_Tables_number 10
_symmetry_space_group_name_Hall '-P 2y'
loop_
_atom_site_label
_atom_site_type_symbol
_atom_site_fract_x
_atom_site_fract_y
_atom_site_fract_z
_atom_site_occupancy
La1 La 0.000 0.000 0.000 1
Fe1 Fe 0.322 0.500 0.661 1
Ni1 Ni 0.500 0.000 0.500 1
```

Formation enthalpy at 0 K ... 285 meV per atom
Crystal system ... monoclinic

---

14.
LaFe2Ni4 after structural relaxation, computed with PBE.

Cell and atoms, written as CIF:
```
data_LaFe2Ni4
_chemical_formula_sum 'La2 Fe4 Ni8'
_cell_length_a 6.330
_cell_length_b 6.330
_cell_length_c 4.893
_cell_angle_alpha 90.00
_cell_angle_beta 90.00
_cell_angle_gamma 90.00
_symmetry_space_group_name_H-M 'I 4/m m m'
_symmetry_Int_Tables_number 139
_symmetry_space_group_name_Hall '-I 4 2'
loop_
_atom_site_label
_atom_site_type_symbol
_atom_site_fract_x
_atom_site_fract_y
_atom_site_fract_z
_atom_site_occupancy
La1 La 0.000 0.000 0.000 1
Fe1 Fe 0.000 0.500 0.250 1
Ni1 Ni 0.197 0.197 0.500 1
```

Formation enthalpy at 0 K ... -112 meV per atom
Crystal system ... tetragonal

---

15.
La4FeNi after structural relaxation, computed with PBE.

Cell and atoms, written as CIF:
```
data_La4FeNi
_chemical_formula_sum 'La16 Fe4 Ni4'
_cell_length_a 8.863
_cell_length_b 8.863
_cell_length_c 8.863
_cell_angle_alpha 90.00
_cell_angle_beta 90.00
_cell_angle_gamma 90.00
_symmetry_space_group_name_H-M 'F -4 3 m'
_symmetry_Int_Tables_number 216
_symmetry_space_group_name_Hall 'F -4 2 3'
loop_
_atom_site_label
_atom_site_type_symbol
_atom_site_fract_x
_atom_site_fract_y
_atom_site_fract_z
_atom_site_occupancy
La1 La 0.125 0.125 0.125 1
Fe1 Fe 0.000 0.000 0.500 1
Ni1 Ni 0.250 0.250 0.750 1
```

Formation enthalpy at 0 K ... 933 meV per atom
Crystal system ... cubic

---

16.
LaFeNi2 after structural relaxation, computed with PBE.

Cell and atoms, written as CIF:
```
data_LaFeNi2
_chemical_formula_sum 'La2 Fe2 Ni4'
_cell_length_a 4.134
_cell_length_b 4.134
_cell_length_c 7.607
_cell_angle_alpha 90.00
_cell_angle_beta 90.00
_cell_angle_gamma 90.00
_symmetry_space_group_name_H-M 'I 4/m m m'
_symmetry_Int_Tables_number 139
_symmetry_space_group_name_Hall '-I 4 2'
loop_
_atom_site_label
_atom_site_type_symbol
_atom_site_fract_x
_atom_site_fract_y
_atom_site_fract_z
_atom_site_occupancy
La1 La 0.000 0.000 0.000 1
Fe1 Fe 0.000 0.000 0.500 1
Ni1 Ni 0.000 0.500 0.250 1
```

Formation enthalpy at 0 K ... 191 meV per atom
Crystal system ... tetragonal

---

17.
LaFe2Ni2 after structural relaxation, computed with PBE.

Cell and atoms, written as CIF:
```
data_LaFe2Ni2
_chemical_formula_sum 'La2 Fe4 Ni4'
_cell_length_a 4.012
_cell_length_b 4.012
_cell_length_c 10.122
_cell_angle_alpha 90.00
_cell_angle_beta 90.00
_cell_angle_gamma 90.00
_symmetry_space_group_name_H-M 'I 4/m m m'
_symmetry_Int_Tables_number 139
_symmetry_space_group_name_Hall '-I 4 2'
loop_
_atom_site_label
_atom_site_type_symbol
_atom_site_fract_x
_atom_site_fract_y
_atom_site_fract_z
_atom_site_occupancy
La1 La 0.000 0.000 0.000 1
Fe1 Fe 0.000 0.000 0.379 1
Ni1 Ni 0.000 0.500 0.250 1
```

Formation enthalpy at 0 K ... 30 meV per atom
Crystal system ... tetragonal
Distance to the lowest polymorph of the same formula ... 51 meV/atom

---

18.
LaFeNi2 after structural relaxation, computed with PBE.

Cell and atoms, written as CIF:
```
data_LaFeNi2
_chemical_formula_sum 'La2 Fe2 Ni4'
_cell_length_a 3.933
_cell_length_b 3.933
_cell_length_c 8.365
_cell_angle_alpha 90.00
_cell_angle_beta 90.00
_cell_angle_gamma 90.00
_symmetry_space_group_name_H-M 'I -4 m 2'
_symmetry_Int_Tables_number 119
_symmetry_space_group_name_Hall 'I -4 -2'
loop_
_atom_site_label
_atom_site_type_symbol
_atom_site_fract_x
_atom_site_fract_y
_atom_site_fract_z
_atom_site_occupancy
La1 La 0.000 0.000 0.000 1
Fe1 Fe 0.000 0.500 0.250 1
Ni1 Ni 0.000 0.000 0.500 1
Ni2 Ni 0.000 0.500 0.750 1
```

Formation enthalpy at 0 K ... 181 meV per atom
Crystal system ... tetragonal

---

19.
La2FeNi after structural relaxation, computed with PBE.

Cell and atoms, written as CIF:
```
data_La2FeNi
_chemical_formula_sum 'La2 Fe1 Ni1'
_cell_length_a 3.551
_cell_length_b 3.551
_cell_length_c 7.077
_cell_angle_alpha 90.00
_cell_angle_beta 90.00
_cell_angle_gamma 90.00
_symmetry_space_group_name_H-M 'P 4/m m m'
_symmetry_Int_Tables_number 123
_symmetry_space_group_name_Hall '-P 4 2'
loop_
_atom_site_label
_atom_site_type_symbol
_atom_site_fract_x
_atom_site_fract_y
_atom_site_fract_z
_atom_site_occupancy
La1 La 0.000 0.000 0.250 1
Fe1 Fe 0.500 0.500 0.000 1
Ni1 Ni 0.500 0.500 0.500 1
```

Formation enthalpy at 0 K ... 43 meV per atom
Crystal system ... tetragonal
Distance to the lowest polymorph of the same formula ... 91 meV/atom

---

20.
LaFeNi2 after structural relaxation, computed with PBE.

Cell and atoms, written as CIF:
```
data_LaFeNi2
_chemical_formula_sum 'La4 Fe4 Ni8'
_cell_length_a 4.533
_cell_length_b 4.533
_cell_length_c 15.636
_cell_angle_alpha 90.00
_cell_angle_beta 90.00
_cell_angle_gamma 90.00
_symmetry_space_group_name_H-M 'I -4 2 d'
_symmetry_Int_Tables_number 122
_symmetry_space_group_name_Hall 'I -4 2bw'
loop_
_atom_site_label
_atom_site_type_symbol
_atom_site_fract_x
_atom_site_fract_y
_atom_site_fract_z
_atom_site_occupancy
La1 La 0.000 0.000 0.000 1
Fe1 Fe 0.000 0.000 0.500 1
Ni1 Ni 0.049 0.250 0.625 1
```

Formation enthalpy at 0 K ... 137 meV per atom
Crystal system ... tetragonal

---

Calculated volume per entry: 89 414 230 399 142 286 108 106 112 414 384 346 73 196 696 130 163 129 89 321 Å³/cell
Density per entry: 7.49 6.10 7.49 7.10 6.62 8.82 8.31 7.46 7.54 8.12 6.99 7.53 6.99 8.22 6.39 7.97 7.50 8.01 7.30 6.45 g cm⁻³